(1)
Material: Tc2Ni2Ag
Method: DFT, PBE-GGA
State: optimized geometry

Summary:
- E (eV/cell) = -67.17
- SG = P4/mbm
- Fermi-level density of states (states/eV per cell) = 10.78
- total magnetization (μB per atom) = 0.000

abc: 7.3095 7.3095 2.6136
angles: 90.00 90.00 90.00
Closest atoms and distances in Å follow each position.
Positions (direct):
Tc1 0.1750 0.3250 0.0000  6 Ni 2.51-2.54, 2 Tc 2.61
Tc2 0.3250 0.8250 0.0000  6 Ni 2.51-2.54, 2 Tc 2.61
Tc3 0.6750 0.1750 0.0000  6 Ni 2.51-2.54, 2 Tc 2.61
Tc4 0.8250 0.6750 0.0000  6 Ni 2.51-2.54, 2 Tc 2.61
Ni1 0.1180 0.6180 0.5000  3 Ni 2.44-2.61, 6 Tc 2.51-2.54
Ni2 0.3820 0.1180 0.5000  3 Ni 2.44-2.61, 6 Tc 2.51-2.54
Ni3 0.6180 0.8820 0.5000  3 Ni 2.44-2.61, 6 Tc 2.51-2.54
Ni4 0.8820 0.3820 0.5000  3 Ni 2.44-2.61, 6 Tc 2.51-2.54
Ag1 0.0000 0.0000 0.5000  2 Ag 2.61, 4 Ni 2.92
Ag2 0.5000 0.5000 0.5000  2 Ag 2.61, 4 Ni 2.92

(2)
Material: TaCoCl
Method: DFT, PBE-GGA
State: optimized geometry

Summary:
- formation energy (no corrections) (eV/atom) = -0.043
- SG = P3m1
- Fermi-level density of states (states/eV per cell) = 1.89
- distance to the lowest polymorph of the same formula (meV per atom) = 0
- total magnetization (μB per atom) = 0.278

abc: 3.2698 3.2698 6.7026
angles: 90.00 90.00 120.00
Closest atoms and distances in Å follow each position.
Positions (direct):
Ta1 0.0000 0.0000 0.0000  3 Co 2.37, 3 Cl 2.65
Co1 0.3333 0.6667 0.7866  3 Ta 2.37
Cl1 0.6667 0.3333 0.2768  3 Ta 2.65

(3)
Material: CuNiSb3
Method: DFT, PBE-GGA
State: optimized geometry

Summary:
- formation energy (no corrections) (eV/atom) = 0.539
- SG = Pm-3m
- Fermi-level density of states (states/eV per cell) = 4.43
- distance to the lowest polymorph of the same formula (meV per atom) = 0
- total magnetization (μB per atom) = 0.000

abc: 4.9653 4.9653 4.9653
angles: 90.00 90.00 90.00
Closest atoms and distances in Å follow each position.
Positions (direct):
Cu1 0.0000 0.0000 0.0000  12 Sb 3.51
Ni1 0.5000 0.5000 0.5000  6 Sb 2.48
Sb1 0.0000 0.5000 0.5000  2 Ni 2.48
Sb2 0.5000 0.0000 0.5000  2 Ni 2.48
Sb3 0.5000 0.5000 0.0000  2 Ni 2.48

(4)
Material: Th4GeAs2S
Method: DFT, PBE-GGA
State: optimized geometry

Summary:
- formation energy (no corrections) (eV/atom) = -1.358
- SG = P2/m
- Fermi-level density of states (states/eV per cell) = 4.82
- total magnetization (μB per atom) = 0.000

abc: 7.2766 4.2222 7.3379
angles: 90.00 109.53 90.00
Closest atoms and distances in Å follow each position.
Positions (direct):
Th1 0.2436 0.0000 0.2422  2 S 2.94, 1 Ge 2.98, 3 As 2.99-3.03
Th2 0.2480 0.5000 0.7545  1 S 2.95, 2 Ge 2.98, 3 As 2.99-3.02
Th3 0.7520 0.5000 0.2455  1 S 2.95, 2 Ge 2.98, 3 As 2.99-3.02
Th4 0.7564 0.0000 0.7578  2 S 2.94, 1 Ge 2.98, 3 As 2.99-3.03
Ge1 0.5000 0.0000 0.0000  6 Th 2.98
As1 0.0000 0.0000 0.5000  6 Th 2.99
As2 0.5000 0.5000 0.5000  6 Th 3.02-3.03
S1 0.0000 0.5000 0.0000  6 Th 2.94-2.95

(5)
Material: Na2TlNi2
Method: DFT, PBE-GGA
State: optimized geometry

Summary:
- SG = P4/mbm
- Fermi-level density of states (states/eV per cell) = 5.02
- distance to the lowest polymorph of the same formula (meV per atom) = 0
- total magnetization (μB per atom) = 0.000

abc: 6.5044 6.5044 4.8163
angles: 90.00 90.00 90.00
Closest atoms and distances in Å follow each position.
Positions (direct):
Na1 0.1721 0.3279 0.0000  6 Ni 3.05-3.10, 5 Na 3.17-3.41, 4 Tl 3.41
Na2 0.3279 0.8279 0.0000  6 Ni 3.05-3.10, 5 Na 3.17-3.41, 4 Tl 3.41
Na3 0.6721 0.1721 0.0000  6 Ni 3.05-3.10, 5 Na 3.17-3.41, 4 Tl 3.41
Na4 0.8279 0.6721 0.0000  6 Ni 3.05-3.10, 5 Na 3.17-3.41, 4 Tl 3.41
Tl1 0.0000 0.0000 0.5000  4 Ni 2.57
Tl2 0.5000 0.5000 0.5000  4 Ni 2.57
Ni1 0.1241 0.6241 0.5000  1 Ni 2.28
Ni2 0.3759 0.1241 0.5000  1 Ni 2.28
Ni3 0.6241 0.8759 0.5000  1 Ni 2.28
Ni4 0.8759 0.3759 0.5000  1 Ni 2.28

(6)
Material: CeUIrRh
Method: DFT, PBE-GGA
State: optimized geometry

Summary:
- E (eV/cell) = -35.60
- SG = F-43m
- Fermi-level density of states (states/eV per cell) = 3.06
- total magnetization (μB per atom) = 0.000

abc: 4.6750 4.6750 4.6750
angles: 60.00 60.00 60.00
Closest atoms and distances in Å follow each position.
Positions (direct):
Ce1 0.0000 0.0000 0.0000  4 U 2.86, 4 Rh 2.86
U1 0.7500 0.7500 0.7500  4 Ce 2.86, 4 Ir 2.86
Ir1 0.5000 0.5000 0.5000  4 U 2.86, 4 Rh 2.86
Rh1 0.2500 0.2500 0.2500  4 Ce 2.86, 4 Ir 2.86